Below is crystalline Ti2GaCo5 at its relaxed geometry, with properties calculated at the GGA-PBE level.

a = 4.2491 Å, b = 4.2491 Å, c = 6.2098 Å
α = 110.01°, β = 110.01°, γ = 90.00°
Last column: nearest neighbours and their distance in Å.
Sites, in units of the cell vectors:
Ti (0.7455, 0.7455, 0.4910)  9 Co 2.52-2.67, 1 Ga 2.77
Ti (0.2545, 0.2545, 0.5090)  9 Co 2.52-2.67, 1 Ga 2.77
Ga (0.0000, 0.0000, 0.0000)  8 Co 2.50, 2 Ti 2.77
Co (0.5000, 0.5000, 0.0000)  8 Co 2.50, 2 Ti 2.67
Co (0.8787, 0.3787, 0.7575)  2 Ga 2.50, 4 Co 2.50-2.80, 4 Ti 2.52-2.57
Co (0.3787, 0.8787, 0.7575)  4 Co 2.50-2.80, 2 Ga 2.50, 4 Ti 2.52-2.57
Co (0.1213, 0.6213, 0.2425)  2 Ga 2.50, 4 Co 2.50-2.80, 4 Ti 2.52-2.57
Co (0.6213, 0.1213, 0.2425)  4 Co 2.50-2.80, 2 Ga 2.50, 4 Ti 2.52-2.57

Values from the calculation:
crystal system	tetragonal


Below is crystalline Ti6Ga12Co at its relaxed geometry, with properties calculated at the GGA-PBE level.

a = 6.7648 Å, b = 6.7648 Å, c = 6.7648 Å
α = 95.62°, β = 95.62°, γ = 95.62°
Last column: nearest neighbours and their distance in Å.
Sites, in units of the cell vectors:
Ti (0.6979, 0.8544, 0.2582)  8 Ga 2.66-2.93, 1 Co 2.97
Ti (0.7418, 0.3021, 0.1456)  8 Ga 2.66-2.93, 1 Co 2.97
Ti (0.1456, 0.7418, 0.3021)  8 Ga 2.66-2.93, 1 Co 2.97
Ti (0.3021, 0.1456, 0.7418)  8 Ga 2.66-2.93, 1 Co 2.97
Ti (0.2582, 0.6979, 0.8544)  8 Ga 2.66-2.93, 1 Co 2.97
Ti (0.8544, 0.2582, 0.6979)  8 Ga 2.66-2.93, 1 Co 2.97
Ga (0.8028, 0.5590, 0.4789)  1 Ga 2.51, 3 Ti 2.66-2.72
Ga (0.4789, 0.8028, 0.5590)  1 Ga 2.51, 3 Ti 2.66-2.72
Ga (0.5590, 0.4789, 0.8028)  1 Ga 2.51, 3 Ti 2.66-2.72
Ga (0.1972, 0.4410, 0.5211)  1 Ga 2.51, 3 Ti 2.66-2.72
Ga (0.5211, 0.1972, 0.4410)  1 Ga 2.51, 3 Ti 2.66-2.72
Ga (0.4410, 0.5211, 0.1972)  1 Ga 2.51, 3 Ti 2.66-2.72
Ga (0.0272, 0.1112, 0.3582)  1 Co 2.45, 2 Ga 2.51-2.58, 2 Ti 2.67-2.70
Ga (0.8888, 0.6418, 0.9728)  1 Co 2.45, 2 Ga 2.51-2.58, 2 Ti 2.67-2.70
Ga (0.6418, 0.9728, 0.8888)  1 Co 2.45, 2 Ga 2.51-2.58, 2 Ti 2.67-2.70
Ga (0.9728, 0.8888, 0.6418)  1 Co 2.45, 2 Ga 2.51-2.58, 2 Ti 2.67-2.70
Ga (0.1112, 0.3582, 0.0272)  1 Co 2.45, 2 Ga 2.51-2.58, 2 Ti 2.67-2.70
Ga (0.3582, 0.0272, 0.1112)  1 Co 2.45, 2 Ga 2.51-2.58, 2 Ti 2.67-2.70
Co (0.0000, 0.0000, 0.0000)  6 Ga 2.45

Values from the calculation:
crystal system	trigonal


Below is crystalline Ti2GaCo3 at its relaxed geometry, with properties calculated at the GGA-PBE level.

a = 3.0070 Å, b = 3.0070 Å, c = 8.4648 Å
α = 90.00°, β = 90.00°, γ = 90.00°
Last column: nearest neighbours and their distance in Å.
Sites, in units of the cell vectors:
Ti (0.5000, 0.5000, 0.8268)  8 Co 2.52-2.58, 1 Ga 2.77
Ti (0.5000, 0.5000, 0.1732)  8 Co 2.52-2.58, 1 Ga 2.77
Ga (0.5000, 0.5000, 0.5000)  8 Co 2.55, 2 Ti 2.77
Co (0.0000, 0.0000, 0.0000)  8 Ti 2.58, 2 Co 2.82
Co (0.0000, 0.0000, 0.6664)  4 Ti 2.52, 4 Ga 2.55, 2 Co 2.82
Co (0.0000, 0.0000, 0.3336)  4 Ti 2.52, 4 Ga 2.55, 2 Co 2.82

Values from the calculation:
crystal system	tetragonal
energy above the most stable polymorph in this dataset	0.074	eV/atom


no.,formation energy from the elements (eV per atom)
1,-0.273
2,-0.328
3,-0.404